1.
Dy2InO | Alexandria | GGA-PBE | relaxed; energy above the lowest structure with this stoichiometry = 0 meV/atom; calculated total energy = -46.9 eV/cell; DOS(E_F) = 7.4 states/eV per cell
1.0
3.208 -3.208 0.000
3.208 3.208 0.000
-0.026 0.000 8.778
Dy In O
4 2 2
direct
0.249 0.249 0.672
0.250 0.750 0.000
0.750 0.250 0.000
0.751 0.751 0.328
0.251 0.251 0.300
0.749 0.749 0.700
0.250 0.250 0.931
0.750 0.750 0.069

2.
SrLiNi | Alexandria | GGA-PBE | relaxed; energy above the lowest structure with this stoichiometry = 209 meV/atom; calculated total energy = -8.8 eV/cell; DOS(E_F) = 2.9 states/eV per cell
1.0
-1.779 1.779 5.242
1.779 -1.779 5.242
1.779 1.779 -5.242
Sr Li Ni
1 1 1
direct
0.000 0.000 0.000
0.726 0.726 0.000
0.315 0.315 0.000

3.
VCr2Mo | Alexandria | GGA-PBE | relaxed; energy above the lowest structure with this stoichiometry = 0 meV/atom; calculated total energy = -39.4 eV/cell; DOS(E_F) = 3.1 states/eV per cell
1.0
0.000 2.969 2.969
2.969 0.000 2.969
2.969 2.969 0.000
V Cr Mo
1 2 1
direct
0.000 0.000 0.000
0.250 0.250 0.250
0.750 0.750 0.750
0.500 0.500 0.500

4.
Sr2Tc2Ag | Alexandria | GGA-PBE | relaxed; calculated total energy = -25.3 eV/cell; DOS(E_F) = 5.4 states/eV per cell
1.0
-1.803 1.803 9.846
1.803 -1.803 9.846
1.803 1.803 -9.846
Sr Tc Ag
2 2 1
direct
0.113 0.113 0.000
0.887 0.887 0.000
0.250 0.750 0.500
0.750 0.250 0.500
0.500 0.500 0.000

5.
BaSr2Sb | Alexandria | GGA-PBE | relaxed; calculated total energy = -11.3 eV/cell; DOS(E_F) = 3.1 states/eV per cell
1.0
5.420 0.000 0.000
0.000 5.420 0.000
0.000 0.000 5.480
Ba Sr Sb
1 2 1
direct
0.000 0.000 0.000
0.000 0.500 0.500
0.500 0.000 0.500
0.500 0.500 0.000

6.
KAl2Re | Alexandria | GGA-PBE | relaxed; energy above the lowest structure with this stoichiometry = 182 meV/atom; calculated total energy = -19.4 eV/cell; DOS(E_F) = 1.3 states/eV per cell
1.0
3.786 -2.186 0.000
3.786 2.186 0.000
-2.534 0.000 6.443
K Al Re
1 2 1
direct
0.000 0.000 0.000
0.185 0.185 0.554
0.504 0.504 0.512
0.815 0.815 0.446

7.
SiAgP | Alexandria | GGA-PBE | relaxed; energy above the lowest structure with this stoichiometry = 0 meV/atom; calculated total energy = -26.9 eV/cell; DOS(E_F) = 0.1 states/eV per cell
1.0
3.545 0.000 0.000
-1.749 6.034 0.000
-1.757 -1.918 5.778
Si Ag P
2 2 2
direct
0.177 0.061 0.293
0.823 0.939 0.707
0.256 0.381 0.125
0.744 0.619 0.875
0.444 0.183 0.709
0.556 0.817 0.291

8.
Pa3FeC3 | Alexandria | GGA-PBE | relaxed; calculated total energy = -133.4 eV/cell; DOS(E_F) = 12.2 states/eV per cell
1.0
7.151 0.000 0.000
-3.575 6.193 0.000
0.000 0.000 5.089
Pa Fe C
6 2 6
direct
0.084 0.704 0.250
0.296 0.379 0.250
0.379 0.084 0.750
0.621 0.916 0.250
0.704 0.621 0.750
0.916 0.296 0.750
0.333 0.667 0.750
0.667 0.333 0.250
0.078 0.704 0.750
0.296 0.374 0.750
0.374 0.078 0.250
0.626 0.922 0.750
0.704 0.626 0.250
0.922 0.296 0.250